First-principles (PBE) data for Cu2SiSe after structural relaxation, as listed in the Alexandria database.

**SG**: I-4m2, No. 119
**Formation energy (no corrections)**: 0.32 eV/atom
**Total magnetization**: 0.0 μB per formula unit
**DOS(E_F)**: 1.75 states/eV/f.u.

Lattice parameters (Å, degrees): 5.416 5.416 5.416 141.15 141.15 56.11
Positions (direct):
Cu 0.000 0.000 0.000
Cu 0.750 0.250 0.500
Si 0.500 0.500 0.000
Se 0.250 0.750 0.500